Record 1
Entry from Alexandria via LeMat-Bulk: an optimized crystal structure of RbFe2Au2 (PBE-GGA).

Calculated values
- Energy above the lowest structure with this stoichiometry: 0 meV/atom
- Calculated formation energy: 33.7 kJ/mol of atoms
- DOS at the Fermi energy: 1.470 states/eV/atom

Cell: 8.295 8.295 2.832 Å, 90.00 90.00 90.00°
Space group P4/mbm (No. 127)
Asymmetric unit:
Rb (0.000, 0.000, 0.000) (multiplicity 2)
Fe (0.103, 0.397, 0.000) (multiplicity 4)
Au (0.183, 0.683, 0.500) (multiplicity 4)


Record 2
Entry from Alexandria via LeMat-Bulk: an optimized crystal structure of NaNpInTe3 (PBE-GGA).

Calculated values
- Formation energy (no corrections): -0.52 eV per atom
- DOS at the Fermi energy: 1.773 states/eV/atom

Cell: 8.853 4.512 11.610 Å, 90.00 102.96 90.00°
Space group P2_1/m (No. 11)
Asymmetric unit:
Na (0.083, 0.250, 0.357) (multiplicity 2)
Np (0.425, 0.750, 0.651) (multiplicity 2)
In (0.457, 0.250, 0.872) (multiplicity 2)
Te (0.174, 0.250, 0.645) (multiplicity 2)
Te (0.319, 0.250, 0.080) (multiplicity 2)
Te (0.343, 0.750, 0.377) (multiplicity 2)


Record 3
Entry from Alexandria via LeMat-Bulk: an optimized crystal structure of LaHoHg4 (PBE-GGA).

Calculated values
- Energy above the lowest structure with this stoichiometry: 0 meV/atom
- Calculated formation energy: -39.6 kJ/mol of atoms
- DOS at the Fermi energy: 0.610 states/eV/atom

Cell: 4.000 5.289 7.751 Å, 90.00 105.05 90.00°
Space group Pm (No. 6)
Asymmetric unit:
La (0.000, 0.000, 0.000) (multiplicity 1)
Ho (0.784, 0.500, 0.578) (multiplicity 1)
Hg (0.121, 0.500, 0.256) (multiplicity 1)
Hg (0.327, 0.000, 0.652) (multiplicity 1)
Hg (0.449, 0.500, 0.904) (multiplicity 1)
Hg (0.670, 0.000, 0.340) (multiplicity 1)


Record 4
Entry from Alexandria via LeMat-Bulk: an optimized crystal structure of PrNd2Sm2Dy4 (PBE-GGA).

Calculated values
- Calculated formation energy: 0.0 kJ/mol of atoms
- DOS at the Fermi energy: 1.347 states/eV/atom

Cell: 18.900 3.645 9.676 Å, 90.00 115.73 90.00°
Space group C2/m (No. 12)
Asymmetric unit:
Pr (0.000, 0.000, 0.000) (multiplicity 2)
Nd (0.167, 0.500, 0.002) (multiplicity 4)
Sm (0.147, 0.000, 0.663) (multiplicity 4)
Dy (0.020, 0.500, 0.335) (multiplicity 4)
Dy (0.186, 0.000, 0.337) (multiplicity 4)


Record 5
Entry from Alexandria via LeMat-Bulk: an optimized crystal structure of ThHgPb (PBE-GGA).

Calculated values
- Calculated formation energy: -23.4 kJ/mol of atoms
- DOS at the Fermi energy: 0.741 states/eV/atom

Cell: 4.777 10.758 6.617 Å, 90.00 90.00 90.00°
Space group Cmcm (No. 63)
Asymmetric unit:
Th (0.000, 0.169, 0.250) (multiplicity 4)
Hg (0.000, 0.144, 0.750) (multiplicity 4)
Pb (0.000, 0.500, 0.000) (multiplicity 4)


Record 6
Entry from Alexandria via LeMat-Bulk: an optimized crystal structure of Sr2Tl2IO6 (PBE-GGA).

Calculated values
- Formation energy (no corrections): -1.32 eV per atom
- DOS at the Fermi energy: 0.400 states/eV/atom

Cell: 6.325 10.686 6.677 Å, 90.00 106.12 90.00°
Space group C2/m (No. 12)
Asymmetric unit:
Sr (0.000, 0.164, 0.000) (multiplicity 4)
Tl (0.000, 0.333, 0.500) (multiplicity 4)
I (0.000, 0.500, 0.000) (multiplicity 2)
O (0.190, 0.363, 0.167) (multiplicity 8)
O (0.206, 0.500, 0.807) (multiplicity 4)


Record 7
Entry from Alexandria via LeMat-Bulk: an optimized crystal structure of SiHg4Pd2 (PBE-GGA).

Calculated values
- Formation energy (no corrections): 0.28 eV per atom
- DOS at the Fermi energy: 0.349 states/eV/atom

Cell: 5.141 5.141 13.375 Å, 90.00 90.00 90.00°
Space group I4/mmm (No. 139)
Asymmetric unit:
Si (0.000, 0.000, 0.000) (multiplicity 2)
Hg (0.000, 0.000, 0.203) (multiplicity 4)
Hg (0.000, 0.500, 0.000) (multiplicity 4)
Pd (0.000, 0.000, 0.401) (multiplicity 4)


Record 8
Entry from Alexandria via LeMat-Bulk: an optimized crystal structure of Cs4La3CdSe8 (PBE-GGA).

Calculated values
- Formation energy (no corrections): -1.46 eV per atom
- DOS at the Fermi energy: 1.267 states/eV/atom

Cell: 15.436 8.894 9.838 Å, 90.00 121.52 90.00°
Space group C2/m (No. 12)
Asymmetric unit:
Cs (0.000, 0.000, 0.000) (multiplicity 2)
Cs (0.000, 0.500, 0.000) (multiplicity 2)
Cs (0.250, 0.250, 0.000) (multiplicity 4)
La (0.000, 0.000, 0.500) (multiplicity 2)
La (0.250, 0.250, 0.500) (multiplicity 4)
Cd (0.000, 0.500, 0.500) (multiplicity 2)
Se (0.019, 0.255, 0.311) (multiplicity 8)
Se (0.229, 0.500, 0.691) (multiplicity 4)
Se (0.231, 0.000, 0.693) (multiplicity 4)


Record 9
Entry from Alexandria via LeMat-Bulk: an optimized crystal structure of KNa2BeF6 (PBE-GGA).

Calculated values
- Formation energy (no corrections): -2.60 eV per atom
- DOS at the Fermi energy: 0.445 states/eV/atom

Cell: 9.230 9.482 7.581 Å, 90.00 122.50 90.00°
Space group C2/c (No. 15)
Asymmetric unit:
K (0.000, 0.134, 0.250) (multiplicity 4)
Na (0.160, 0.449, 0.206) (multiplicity 8)
Be (0.000, 0.233, 0.750) (multiplicity 4)
F (0.065, 0.135, 0.642) (multiplicity 8)
F (0.134, 0.385, 0.477) (multiplicity 8)
F (0.143, 0.342, 0.906) (multiplicity 8)


Record 10
Entry from Alexandria via LeMat-Bulk: an optimized crystal structure of TiSiI2N (PBE-GGA).

Calculated values
- Formation energy (no corrections): 0.26 eV per atom
- Energy above the lowest structure with this stoichiometry: 0 meV/atom
- DOS at the Fermi energy: 0.777 states/eV/atom

Cell: 5.677 5.677 3.760 Å, 90.00 90.00 90.00°
Space group P4/mmm (No. 123)
Asymmetric unit:
Ti (0.000, 0.000, 0.000) (multiplicity 1)
Si (0.500, 0.500, 0.500) (multiplicity 1)
I (0.000, 0.500, 0.000) (multiplicity 2)
N (0.000, 0.000, 0.500) (multiplicity 1)


Record 11
Entry from Alexandria via LeMat-Bulk: an optimized crystal structure of TaMnHOs2 (PBE-GGA).

Calculated values
- Energy above the lowest structure with this stoichiometry: 89 meV/atom
- DOS at the Fermi energy: 0.677 states/eV/atom

Cell: 3.922 3.922 3.980 Å, 90.00 90.00 90.00°
Space group P4/mmm (No. 123)
Asymmetric unit:
Ta (0.000, 0.000, 0.000) (multiplicity 1)
Mn (0.500, 0.500, 0.000) (multiplicity 1)
H (0.000, 0.000, 0.500) (multiplicity 1)
Os (0.000, 0.500, 0.500) (multiplicity 2)


Record 12
Entry from Alexandria via LeMat-Bulk: an optimized crystal structure of Pm3Al2Pd7 (PBE-GGA).

Calculated values
- Energy above the lowest structure with this stoichiometry: 135 meV/atom
- Calculated formation energy: -66.1 kJ/mol of atoms
- DOS at the Fermi energy: 0.273 states/eV/atom

Cell: 4.189 29.264 4.073 Å, 90.00 90.00 90.00°
Space group Cmmm (No. 65)
Asymmetric unit:
Pm (0.000, 0.000, 0.000) (multiplicity 2)
Pm (0.000, 0.201, 0.000) (multiplicity 4)
Al (0.000, 0.417, 0.500) (multiplicity 4)
Pd (0.000, 0.129, 0.500) (multiplicity 4)
Pd (0.000, 0.289, 0.500) (multiplicity 4)
Pd (0.000, 0.369, 0.000) (multiplicity 4)
Pd (0.000, 0.500, 0.500) (multiplicity 2)